## Pm3OsRu (GGA-PBE)

Data for Pm3OsRu after structural relaxation.

Unit cell a=6.3051 b=9.8629 c=8.8640 alpha=116.81 beta=90.00 gamma=90.00
Fractional positions:
Pm: 0.9998 0.6935 0.8668
Pm: 0.0002 0.3065 0.1332
Pm: 0.4998 0.8065 0.1332
Pm: 0.5002 0.1935 0.8668
Pm: 0.5202 0.4604 0.7240
Pm: 0.4798 0.5396 0.2760
Pm: 0.0202 0.0396 0.2760
Pm: 0.9798 0.9604 0.7240
Pm: 0.0171 0.2971 0.6736
Pm: 0.9829 0.7029 0.3264
Pm: 0.5171 0.2029 0.3264
Pm: 0.4829 0.7971 0.6736
Os: 0.8155 0.5369 0.5157
Os: 0.1845 0.4631 0.4843
Os: 0.3155 0.9631 0.4843
Os: 0.6845 0.0369 0.5157
Ru: 0.2307 0.4936 0.9922
Ru: 0.7693 0.5064 0.0078
Ru: 0.7307 0.0064 0.0078
Ru: 0.2693 0.9936 0.9922

## Properties
Space-group type ... P2_1/c, No. 14
DFT formation energy ... -0.109 eV/atom
Fermi-level density of states ... 10.74 states/eV per cell
Energy ... -35.30 eV/f.u.